Entry from the Alexandria database: a geometry-optimized Si2HPt4 structure (PBE).

Lattice parameters (Å, degrees): 3.817 3.817 13.384 90.00 90.00 90.00
Space group I4/mmm (No. 139)
Inequivalent atoms, fractional coordinates:
Si1 0.000 0.000 0.130 [4 per cell]
H1 0.000 0.000 0.500 [2 per cell]
Pt1 0.000 0.000 0.299 [4 per cell]
Pt2 0.000 0.500 0.000 [4 per cell]

Properties
- Mass density: 14.27 g/cm³

---

Entry from the Alexandria database: a geometry-optimized SiHPt2 structure (PBE).

Lattice parameters (Å, degrees): 4.998 4.998 8.796 90.00 90.00 90.00
Space group I-42d (No. 122)
Inequivalent atoms, fractional coordinates:
Si1 0.000 0.000 0.000 [4 per cell]
H1 0.000 0.000 0.500 [4 per cell]
Pt1 0.170 0.250 0.625 [8 per cell]

Properties
- Mass density: 12.67 g/cm³
- Distance to the lowest polymorph of the same formula: 0 meV/atom

---

Entry from the Alexandria database: a geometry-optimized SiH2Pt structure (PBE).

Lattice parameters (Å, degrees): 4.513 4.513 8.448 90.00 90.00 90.00
Space group I-42d (No. 122)
Inequivalent atoms, fractional coordinates:
Si1 0.000 0.000 0.000 [4 per cell]
H1 0.183 0.250 0.625 [8 per cell]
Pt1 0.000 0.000 0.500 [4 per cell]

Properties
- Mass density: 8.69 g/cm³
- Distance to the lowest polymorph of the same formula: 0 meV/atom

---

Entry from the Alexandria database: a geometry-optimized Si3HPt structure (PBE).

Lattice parameters (Å, degrees): 3.969 3.969 3.969 90.00 90.00 90.00
Space group Pm-3m (No. 221)
Inequivalent atoms, fractional coordinates:
Si1 0.000 0.000 0.500 [3 per cell]
H1 0.000 0.000 0.000 [1 per cell]
Pt1 0.500 0.500 0.500 [1 per cell]

Properties
- Mass density: 7.45 g/cm³
- Distance to the lowest polymorph of the same formula: 0 meV/atom

---

Entry from the Alexandria database: a geometry-optimized SiHPt2 structure (PBE).

Lattice parameters (Å, degrees): 5.811 5.811 5.811 90.00 90.00 90.00
Space group Fm-3m (No. 225)
Inequivalent atoms, fractional coordinates:
Si1 0.000 0.000 0.000 [4 per cell]
H1 0.000 0.000 0.500 [4 per cell]
Pt1 0.250 0.250 0.250 [8 per cell]

Properties
- Mass density: 14.19 g/cm³
- Distance to the lowest polymorph of the same formula: 231 meV/atom

---

Entry from the Alexandria database: a geometry-optimized Si2HPt structure (PBE).

Lattice parameters (Å, degrees): 4.275 4.275 11.993 90.00 90.00 90.00
Space group I-42d (No. 122)
Inequivalent atoms, fractional coordinates:
Si1 0.147 0.250 0.125 [8 per cell]
H1 0.000 0.000 0.000 [4 per cell]
Pt1 0.000 0.000 0.500 [4 per cell]

Properties
- Mass density: 7.65 g/cm³
- Distance to the lowest polymorph of the same formula: 244 meV/atom

---

Number 1: energy -5.722 eV per atom. Number 2: energy -5.456 eV per atom. Number 3: energy -4.137 eV per atom. Number 4: energy -4.758 eV per atom. Number 5: energy -5.224 eV per atom. Number 6: energy -4.961 eV per atom.